(one)
NbMo2Ru | PBE | optimized geometry

As for the volume: 17.2 A^3/atom. The crystal system is tetragonal.

The structure belongs to space group I-42d (No. 122); the cell edges are 7.283, 7.283 and 5.189 Å and the angles 90.00°, 90.00° and 90.00°. The inequivalent atoms are Nb at (0.000, 0.000, 0.000), Mo at (0.230, 0.750, 0.625) and Ru at (0.000, 0.000, 0.500).

---

(two)
NbMo2Ru | PBE | optimized geometry

As for the volume: 16.2 A^3/atom. The crystal system is tetragonal.

The structure belongs to space group P4/mmm (No. 123); the cell edges are 3.750, 3.750 and 4.607 Å and the angles 90.00°, 90.00° and 90.00°. The inequivalent atoms are Nb at (0.000, 0.000, 0.000), Mo at (0.000, 0.500, 0.500) and Ru at (0.500, 0.500, 0.000).

---

It turns out (two) is the most stable, with the second structure 0.479 eV/atom higher.

---

(one)
Nb3MoRu2 | PBE | optimized geometry

As for the volume: 16.3 A^3/atom. The crystal system is orthorhombic.

The structure belongs to space group Cmmm (No. 65); the cell edges are 4.497, 13.553 and 3.216 Å and the angles 90.00°, 90.00° and 90.00°. The inequivalent atoms are Nb at (0.000, 0.000, 0.000), Nb at (0.000, 0.336, 0.000), Mo at (0.000, 0.500, 0.500) and Ru at (0.000, 0.170, 0.500).

---

(two)
Nb3MoRu2 | PBE | optimized geometry

As for the volume: 16.4 A^3/atom. The crystal system is tetragonal.

The structure belongs to space group P4/mmm (No. 123); the cell edges are 3.207, 3.207 and 9.557 Å and the angles 90.00°, 90.00° and 90.00°. The inequivalent atoms are Nb at (0.000, 0.000, 0.000), Nb at (0.000, 0.000, 0.337), Mo at (0.500, 0.500, 0.500) and Ru at (0.500, 0.500, 0.161).

---

It turns out (one) is the most stable, with the second structure 0.018 eV/atom higher.

---

(one)
Nb4MoRu | PBE | optimized geometry

As for the volume: 17.1 A^3/atom. The crystal system is tetragonal.

The structure belongs to space group P4/mmm (No. 123); the cell edges are 3.233, 3.233 and 9.794 Å and the angles 90.00°, 90.00° and 90.00°. The inequivalent atoms are Nb at (0.000, 0.000, 0.161), Nb at (0.500, 0.500, 0.337), Mo at (0.000, 0.000, 0.500) and Ru at (0.500, 0.500, 0.000).

---

(two)
Nb4MoRu | PBE | optimized geometry

As for the volume: 21.3 A^3/atom. The crystal system is orthorhombic.

The structure belongs to space group Cmmm (No. 65); the cell edges are 7.471, 7.502 and 4.566 Å and the angles 90.00°, 90.00° and 90.00°. The inequivalent atoms are Nb at (0.000, 0.173, 0.000), Nb at (0.180, 0.500, 0.500), Mo at (0.000, 0.500, 0.000) and Ru at (0.000, 0.000, 0.500).

---

It turns out (one) is the most stable, with the second structure 1.203 eV/atom higher.

---

(one)
NbMo3Ru | PBE | optimized geometry

As for the volume: 20.4 A^3/atom. The crystal system is cubic.

The structure belongs to space group Pm-3m (No. 221); the cell edges are 4.670, 4.670 and 4.670 Å and the angles 90.00°, 90.00° and 90.00°. The inequivalent atoms are Nb at (0.000, 0.000, 0.000), Mo at (0.000, 0.000, 0.500) and Ru at (0.500, 0.500, 0.500).

---

(two)
NbMo3Ru | PBE | optimized geometry

As for the volume: 20.0 A^3/atom. The crystal system is cubic.

The structure belongs to space group Pm-3m (No. 221); the cell edges are 4.641, 4.641 and 4.641 Å and the angles 90.00°, 90.00° and 90.00°. The inequivalent atoms are Nb at (0.000, 0.000, 0.000), Mo at (0.000, 0.500, 0.500) and Ru at (0.500, 0.500, 0.500).

---

It turns out (two) is the most stable, with the second structure 0.576 eV/atom higher.

---

(one)
TiNbMoRu | PBE | optimized geometry

As for the volume: 15.9 A^3/atom. The crystal system is tetragonal.

The structure belongs to space group P4mm (No. 99); the cell edges are 3.163, 3.163 and 6.354 Å and the angles 90.00°, 90.00° and 90.00°. The inequivalent atoms are Ti at (0.000, 0.000, 0.000), Nb at (0.000, 0.000, 0.501), Mo at (0.500, 0.500, 0.247) and Ru at (0.500, 0.500, 0.755).

---

(two)
TiNbMoRu | PBE | optimized geometry

As for the volume: 15.8 A^3/atom. The crystal system is cubic.

The structure belongs to space group F-43m (No. 216); the cell edges are 6.325, 6.325 and 6.325 Å and the angles 90.00°, 90.00° and 90.00°. The inequivalent atoms are Ti at (0.000, 0.000, 0.000), Nb at (0.000, 0.000, 0.500), Mo at (0.250, 0.250, 0.750) and Ru at (0.250, 0.250, 0.250).

---

It turns out (two) is the most stable, with the second structure 0.013 eV/atom higher.

---

(one)
NbVMoRu | PBE | optimized geometry

As for the volume: 15.3 A^3/atom. The crystal system is cubic.

The structure belongs to space group F-43m (No. 216); the cell edges are 6.253, 6.253 and 6.253 Å and the angles 90.00°, 90.00° and 90.00°. The inequivalent atoms are Nb at (0.000, 0.000, 0.000), V at (0.000, 0.000, 0.500), Mo at (0.250, 0.250, 0.250) and Ru at (0.250, 0.250, 0.750).

---

(two)
NbVMoRu | PBE | optimized geometry

As for the volume: 15.4 A^3/atom. The crystal system is tetragonal.

The structure belongs to space group P4mm (No. 99); the cell edges are 3.128, 3.128 and 6.278 Å and the angles 90.00°, 90.00° and 90.00°. The inequivalent atoms are Nb at (0.000, 0.000, 0.000), V at (0.000, 0.000, 0.506), Mo at (0.500, 0.500, 0.735) and Ru at (0.500, 0.500, 0.258).

---

It turns out (one) is the most stable, with the second structure 0.006 eV/atom higher.

---

(one)
NbMoS2 | PBE | optimized geometry

As for the volume: 18.3 A^3/atom. The crystal system is tetragonal.

The structure belongs to space group I-42d (No. 122); the cell edges are 4.570, 4.570 and 14.005 Å and the angles 90.00°, 90.00° and 90.00°. The inequivalent atoms are Nb at (0.000, 0.000, 0.000), Mo at (0.000, 0.000, 0.500) and S at (0.237, 0.250, 0.625).

---

(two)
NbMoS2 | PBE | optimized geometry

As for the volume: 14.3 A^3/atom. The crystal system is cubic.

The structure belongs to space group Fm-3m (No. 225); the cell edges are 6.121, 6.121 and 6.121 Å and the angles 90.00°, 90.00° and 90.00°. The inequivalent atoms are Nb at (0.000, 0.000, 0.000), Mo at (0.000, 0.000, 0.500) and S at (0.250, 0.250, 0.250).

---

(three)
NbMoS2 | PBE | optimized geometry

As for the volume: 16.6 A^3/atom. The crystal system is orthorhombic.

The structure belongs to space group Pnma (No. 62); the cell edges are 6.791, 3.180 and 12.332 Å and the angles 90.00°, 90.00° and 90.00°. The inequivalent atoms are Nb at (0.240, 0.250, 0.190), Mo at (0.088, 0.750, 0.370), S at (0.069, 0.250, 0.810) and S at (0.207, 0.250, 0.513).

---

It turns out (three) is the most stable, with the second structure 0.241 eV/atom higher.

---

(one)
Nb3MoS | PBE | optimized geometry

As for the volume: 16.8 A^3/atom. The crystal system is monoclinic.

The structure belongs to space group P2_1/m (No. 11); the cell edges are 6.679, 3.271 and 7.733 Å and the angles 90.00°, 97.18° and 90.00°. The inequivalent atoms are Nb at (0.158, 0.250, 0.085), Nb at (0.312, 0.250, 0.488), Nb at (0.337, 0.750, 0.835), Mo at (0.009, 0.250, 0.670) and S at (0.395, 0.750, 0.246).

---

(two)
Nb3MoS | PBE | optimized geometry

As for the volume: 18.8 A^3/atom. The crystal system is cubic.

The structure belongs to space group Pm-3m (No. 221); the cell edges are 4.544, 4.544 and 4.544 Å and the angles 90.00°, 90.00° and 90.00°. The inequivalent atoms are Nb at (0.000, 0.000, 0.500), Mo at (0.500, 0.500, 0.500) and S at (0.000, 0.000, 0.000).

---

It turns out (one) is the most stable, with the second structure 0.617 eV/atom higher.

---

(one)
NbMoS3 | PBE | optimized geometry

As for the volume: 17.5 A^3/atom. The crystal system is monoclinic.

The structure belongs to space group P2_1/m (No. 11); the cell edges are 6.264, 3.280 and 8.754 Å and the angles 90.00°, 103.69° and 90.00°. The inequivalent atoms are Nb at (0.191, 0.250, 0.493), Mo at (0.387, 0.250, 0.875), S at (0.007, 0.750, 0.297), S at (0.233, 0.750, 0.015) and S at (0.471, 0.750, 0.664).

---

(two)
NbMoS3 | PBE | optimized geometry

As for the volume: 20.7 A^3/atom. The crystal system is monoclinic.

The structure belongs to space group C2/m (No. 12); the cell edges are 20.353, 3.148 and 6.472 Å and the angles 90.00°, 94.78° and 90.00°. The inequivalent atoms are Nb at (0.081, 0.000, 0.460), Mo at (0.106, 0.500, 0.866), S at (0.020, 0.000, 0.780), S at (0.146, 0.000, 0.124) and S at (0.169, 0.500, 0.584).

---

It turns out (one) is the most stable, with the second structure 0.246 eV/atom higher.

---

(one)
NbMoS3 | PBE | optimized geometry

As for the volume: 18.3 A^3/atom. The crystal system is monoclinic.

The structure belongs to space group C2/c (No. 15); the cell edges are 11.073, 10.337 and 6.660 Å and the angles 90.00°, 106.35° and 90.00°. The inequivalent atoms are Nb at (0.000, 0.031, 0.250), Nb at (0.000, 0.279, 0.750), Mo at (0.237, 0.114, 0.976), S at (0.112, 0.251, 0.128), S at (0.137, 0.430, 0.667) and S at (0.144, 0.085, 0.594).

---

(two)
NbMoS3 | PBE | optimized geometry

As for the volume: 22.0 A^3/atom. The crystal system is cubic.

The structure belongs to space group Pm-3m (No. 221); the cell edges are 4.792, 4.792 and 4.792 Å and the angles 90.00°, 90.00° and 90.00°. The inequivalent atoms are Nb at (0.000, 0.000, 0.000), Mo at (0.500, 0.500, 0.500) and S at (0.000, 0.000, 0.500).

---

(three)
NbMoS3 | PBE | optimized geometry

As for the volume: 20.2 A^3/atom. The crystal system is cubic.

The structure belongs to space group Pm-3m (No. 221); the cell edges are 4.660, 4.660 and 4.660 Å and the angles 90.00°, 90.00° and 90.00°. The inequivalent atoms are Nb at (0.000, 0.000, 0.000), Mo at (0.500, 0.500, 0.500) and S at (0.000, 0.500, 0.500).

---

It turns out (one) is the most stable, with the second structure 0.987 eV/atom higher.

---

(one)
Nb3SbMo | PBE | optimized geometry

As for the volume: 22.9 A^3/atom. The crystal system is cubic.

The structure belongs to space group Pm-3m (No. 221); the cell edges are 4.857, 4.857 and 4.857 Å and the angles 90.00°, 90.00° and 90.00°. The inequivalent atoms are Nb at (0.000, 0.000, 0.500), Sb at (0.500, 0.500, 0.500) and Mo at (0.000, 0.000, 0.000).

---

(two)
Nb3SbMo | PBE | optimized geometry

As for the volume: 24.1 A^3/atom. The crystal system is cubic.

The structure belongs to space group Pm-3m (No. 221); the cell edges are 4.942, 4.942 and 4.942 Å and the angles 90.00°, 90.00° and 90.00°. The inequivalent atoms are Nb at (0.000, 0.000, 0.500), Sb at (0.000, 0.000, 0.000) and Mo at (0.500, 0.500, 0.500).

---

It turns out (one) is the most stable, with the second structure 0.834 eV/atom higher.